4
Lattice="3.4667 0.0000 0.0000 0.0000 3.4667 0.0000 0.0000 0.0000 8.0563" Properties=species:S:1:pos:R:3 comment="KPtW2 | Alexandria via LeMat-Bulk | PBE | optimized geometry" ef_kj_per_mol_atoms=103 relative_energy_ev_per_atom=0.549 pbc="T T T"
K 0.0000 0.0000 0.0000
Pt 0.0000 0.0000 4.0282
W 1.7334 1.7334 2.8661
W 1.7334 1.7334 5.1903

=====

7
Lattice="-3.9576 5.7328 3.0708 3.9576 -5.7328 3.0708 3.9576 5.7328 -3.0708" Properties=species:S:1:pos:R:3 comment="YHo5In | Alexandria via LeMat-Bulk | PBE | optimized geometry" ef_kj_per_mol_atoms=70 pbc="T T T"
Y 0.0000 0.0000 0.0000
Ho 3.9576 2.8332 -0.5815
Ho 3.9576 0.0000 1.2900
Ho 2.4884 5.7328 -0.0093
Ho 1.4692 0.0000 3.0614
Ho 0.0000 2.8995 2.4892
In 0.0000 5.7328 1.4479

=====

3
Lattice="-1.5028 1.7155 4.9057 1.5028 -1.7155 4.9057 1.5028 1.7155 -4.9057" Properties=species:S:1:pos:R:3 comment="AlHgRh | Alexandria via LeMat-Bulk | PBE | optimized geometry" ef_kj_per_mol_atoms=-33 relative_energy_ev_per_atom=0.000 pbc="T T T"
Al 0.0000 0.0000 0.0000
Hg 0.0000 0.0000 6.8575
Rh 0.0000 0.0000 3.8880

=====

4
Lattice="4.7842 -1.4345 0.0000 4.7842 1.4345 0.0000 -1.1836 0.0000 4.7873" Properties=species:S:1:pos:R:3 comment="AsOs2Au | Alexandria via LeMat-Bulk | PBE | optimized geometry" ef_kj_per_mol_atoms=58 pbc="T T T"
As 0.0000 0.0000 0.0000
Os 1.6908 0.0000 3.6798
Os 4.4014 0.0000 2.9186
Au 7.0729 0.0000 1.3882

=====

4
Lattice="3.1197 0.0000 0.0000 0.0000 4.9234 0.0000 -1.5592 0.0000 6.5848" Properties=species:S:1:pos:R:3 comment="CaTa | Alexandria via LeMat-Bulk | PBE | optimized geometry" ef_kj_per_mol_atoms=60 relative_energy_ev_per_atom=0.262 pbc="T T T"
Ca -0.0137 1.2308 2.2507
Ca 1.5742 3.6925 4.3341
Ta -0.0566 1.2308 6.0725
Ta 1.6171 3.6925 0.5123

=====

29
Lattice="-6.2524 6.2524 6.2524 6.2524 -6.2524 6.2524 6.2524 6.2524 -6.2524" Properties=species:S:1:pos:R:3 comment="Tb19Sm4Y6 | Alexandria via LeMat-Bulk | PBE | optimized geometry" ef_kj_per_mol_atoms=37 pbc="T T T"
Tb 0.0000 0.0000 0.0000
Tb 3.2316 0.0000 0.0000
Tb 9.2731 0.0000 0.0000
Tb 5.4759 3.0014 -2.7666
Tb 9.0190 -0.7765 3.2509
Tb 3.0014 -2.7666 5.4759
Tb 0.0000 3.2316 0.0000
Tb 0.0000 0.0000 3.2316
Tb 3.4857 0.7765 3.2509
Tb 3.2509 3.4857 0.7765
Tb 7.0289 3.0014 2.7666
Tb 0.7765 3.2509 3.4857
Tb 3.2509 9.0190 -0.7765
Tb -2.7666 5.4759 3.0014
Tb 0.0000 9.2731 0.0000
Tb 0.0000 0.0000 9.2731
Tb 3.0014 2.7666 7.0289
Tb 2.7666 7.0289 3.0014
Tb -0.7765 3.2509 9.0190
Sm 2.2574 2.2574 -2.2574
Sm 2.2574 -2.2574 2.2574
Sm -2.2574 2.2574 2.2574
Sm 3.9950 3.9950 3.9950
Y 6.2524 1.5877 0.0000
Y 6.2524 0.0000 4.6647
Y 4.6647 6.2524 0.0000
Y 1.5877 0.0000 6.2524
Y 0.0000 6.2524 1.5877
Y 0.0000 4.6647 6.2524

=====

4
Lattice="0.0000 3.8817 3.8817 3.8817 0.0000 3.8817 3.8817 3.8817 0.0000" Properties=species:S:1:pos:R:3 comment="Ba2PAu | Alexandria via LeMat-Bulk | PBE | optimized geometry" ef_kj_per_mol_atoms=-30 pbc="T T T"
Ba 0.0000 0.0000 0.0000
Ba 1.9409 1.9409 1.9409
P 5.8226 5.8226 5.8226
Au 3.8817 3.8817 3.8817

=====

10
Lattice="4.3653 -7.7197 0.0000 4.3653 7.7197 0.0000 0.0000 0.0000 5.4702" Properties=species:S:1:pos:R:3 comment="Dy7ThSc2 | Alexandria via LeMat-Bulk | PBE | optimized geometry" ef_kj_per_mol_atoms=67 pbc="T T T"
Dy 0.0000 0.0000 0.0000
Dy 2.8049 1.8238 0.0000
Dy 4.3653 3.4824 2.7351
Dy 2.8049 -1.8238 0.0000
Dy 5.9257 1.8238 0.0000
Dy 4.3653 -3.4824 2.7351
Dy 5.9257 -1.8238 0.0000
Th 4.3653 0.0000 2.7351
Sc 4.3653 4.6012 0.0000
Sc 4.3653 -4.6012 0.0000

=====

9
Lattice="4.6996 0.0000 0.0000 0.0000 4.6996 0.0000 0.0000 0.0000 8.7049" Properties=species:S:1:pos:R:3 comment="Nd2Al2Au5 | Alexandria via LeMat-Bulk | PBE | optimized geometry" ef_kj_per_mol_atoms=-59 pbc="T T T"
Nd 0.0000 0.0000 0.0000
Nd 0.0000 0.0000 4.3525
Al 2.3498 2.3498 1.3081
Al 2.3498 2.3498 7.3968
Au 0.0000 2.3498 2.3190
Au 0.0000 2.3498 6.3859
Au 2.3498 0.0000 2.3190
Au 2.3498 0.0000 6.3859
Au 2.3498 2.3498 4.3525

=====

4
Lattice="0.0000 4.2652 4.2652 4.2652 0.0000 4.2652 4.2652 4.2652 0.0000" Properties=species:S:1:pos:R:3 comment="Cs2CdW | Alexandria via LeMat-Bulk | PBE | optimized geometry" ef_kj_per_mol_atoms=154 relative_energy_ev_per_atom=0.000 pbc="T T T"
Cs 2.1326 2.1326 2.1326
Cs 6.3978 6.3978 6.3978
Cd 0.0000 0.0000 0.0000
W 4.2652 4.2652 4.2652

=====

5
Lattice="6.7783 0.0000 0.0000 0.0000 6.7783 0.0000 0.0000 0.0000 4.7428" Properties=species:S:1:pos:R:3 comment="K2MgFeAs | Alexandria via LeMat-Bulk | PBE | optimized geometry" ef_kj_per_mol_atoms=70 pbc="T T T"
K 0.0000 3.3892 0.0000
K 3.3892 0.0000 0.0000
Mg 0.0000 0.0000 0.0000
Fe 3.3892 3.3892 2.3714
As 0.0000 0.0000 2.3714

=====

10
Lattice="-3.7985 3.7985 4.8721 3.7985 -3.7985 4.8721 3.7985 3.7985 -4.8721" Properties=species:S:1:pos:R:3 comment="Rb2OsAuCl6 | Alexandria via LeMat-Bulk | PBE | optimized geometry" formation_energy_uncorrected_mev_per_atom=-845 pbc="T T T"
Rb 3.7985 0.0000 2.4361
Rb 0.0000 3.7985 2.4361
Os 0.0000 0.0000 0.0000
Au 0.0000 0.0000 4.8721
Cl 1.6806 1.6806 0.0000
Cl 2.1179 -2.1179 4.8721
Cl 0.0000 0.0000 2.4379
Cl 0.0000 0.0000 7.3063
Cl -2.1179 2.1179 4.8721
Cl 2.1179 2.1179 4.8721